Record 1
DFT (PBE-GGA) results for crystalline TlTc2O8 at its relaxed geometry.

Computed properties:
formation energy without anion corrections	-1.14	eV per atom
SG	C2/m (12)

Unit cell a=5.9331 b=6.5675 c=6.5675 alpha=58.98 beta=74.05 gamma=74.05
Positions (direct):
Tl  0.0000  0.0000  0.0000
O  0.6400  0.1607  0.1607
O  0.2282  0.9165  0.3405
O  0.7718  0.6595  0.0835
O  0.8026  0.6484  0.6484
O  0.1974  0.3516  0.3516
O  0.3600  0.8393  0.8393
O  0.7718  0.0835  0.6595
O  0.2282  0.3405  0.9165
Tc  0.6752  0.8056  0.8056
Tc  0.3248  0.1944  0.1944

Record 2
DFT (PBE-GGA) results for crystalline TlTcO3 at its relaxed geometry.

Computed properties:
formation energy without anion corrections	-1.22	eV per atom
SG	P-1 (2)

Unit cell a=6.1323 b=5.1627 c=7.1812 alpha=76.70 beta=115.79 gamma=92.81
Positions (direct):
Tc  0.2147  0.6473  0.9382
Tc  0.3696  0.1851  0.0517
O  0.3410  0.4184  0.8021
O  0.9254  0.6967  0.7126
O  0.1198  0.9502  0.0423
O  0.2433  0.4140  0.1879
O  0.4645  0.8822  0.9477
O  0.6589  0.1358  0.2773
Tl  0.6604  0.1452  0.6688
Tl  0.9240  0.6873  0.3211

Record 3
DFT (PBE-GGA) results for crystalline Tl2TcO at its relaxed geometry.

Computed properties:
excess energy over the best structure of this formula in the dataset	0.0	meV per atom
formation energy without anion corrections	0.47	eV per atom
SG	I-42d (122)

Unit cell a=6.8782 b=6.8782 c=5.8979 alpha=54.33 beta=54.33 gamma=90.00
Each line ends with the local moment (μB).
Positions (direct):
O  0.2500  0.7500  0.5000  0.10
O  0.5000  0.5000  0.0000  0.10
Tl  0.3750  0.4254  0.7500  -0.02
Tl  0.1754  0.6250  0.2500  -0.02
Tl  0.8750  0.8246  0.7500  -0.03
Tl  0.5746  0.1250  0.2500  -0.02
Tc  0.7500  0.2500  0.5000  2.21
Tc  0.0000  0.0000  0.0000  2.21

Record 4
DFT (PBE-GGA) results for crystalline TlTcO3 at its relaxed geometry.

Computed properties:
formation energy without anion corrections	-0.56	eV per atom
SG	P6_3/mmc (194)

Unit cell a=3.5449 b=3.5449 c=13.6123 alpha=90.00 beta=90.00 gamma=120.00
Each line ends with the local moment (μB).
Positions (direct):
Tc  0.0000  0.0000  0.0000  2.12
Tc  0.0000  0.0000  0.5000  2.13
O  0.0000  0.0000  0.7500  -0.01
O  0.3333  0.6667  0.9438  0.05
O  0.0000  0.0000  0.2500  -0.01
O  0.3333  0.6667  0.5562  0.05
O  0.6667  0.3333  0.0562  0.05
O  0.6667  0.3333  0.4438  0.05
Tl  0.3333  0.6667  0.7500  -0.01
Tl  0.6667  0.3333  0.2500  -0.01

Record 5
DFT (PBE-GGA) results for crystalline TlTcO3 at its relaxed geometry.

Computed properties:
formation energy without anion corrections	-0.51	eV per atom
SG	I-4m2 (119)

Unit cell a=3.8340 b=3.8340 c=12.3351 alpha=81.06 beta=81.06 gamma=90.00
Each line ends with the local moment (μB).
Positions (direct):
O  0.2381  0.9364  0.1271  0.03
O  0.6347  0.9364  0.1271  0.03
O  0.7502  0.7502  0.4996  0.00
O  0.0636  0.7619  0.8729  0.04
O  0.2498  0.2498  0.5004  0.00
O  0.0636  0.3653  0.8729  0.04
Tl  0.6471  0.1471  0.7057  0.00
Tl  0.8529  0.3529  0.2943  0.00
Tc  0.0000  0.0000  0.0000  1.06
Tc  0.2500  0.7500  0.5000  -0.01

Record 6
DFT (PBE-GGA) results for crystalline Tl2TcO at its relaxed geometry.

Computed properties:
excess energy over the best structure of this formula in the dataset	307.0	meV per atom
formation energy without anion corrections	0.78	eV per atom
SG	Fm-3m (225)

Unit cell a=4.7574 b=4.7574 c=4.7574 alpha=60.00 beta=60.00 gamma=60.00
Each line ends with the local moment (μB).
Positions (direct):
O  0.0000  0.0000  0.0000  0.55
Tc  0.5000  0.5000  0.5000  1.97
Tl  0.7500  0.7500  0.7500  0.01
Tl  0.2500  0.2500  0.2500  0.01

Record 7
DFT (PBE-GGA) results for crystalline TlTc3O at its relaxed geometry.

Computed properties:
excess energy over the best structure of this formula in the dataset	0.0	meV per atom
formation energy without anion corrections	0.31	eV per atom
SG	Pm-3m (221)

Unit cell a=4.1812 b=4.1812 c=4.1812 alpha=90.00 beta=90.00 gamma=90.00
Each line ends with the local moment (μB).
Positions (direct):
Tc  0.0000  0.5000  0.0000  0.63
Tc  0.0000  0.0000  0.5000  0.66
Tc  0.5000  0.0000  0.0000  0.67
Tl  0.5000  0.5000  0.5000  -0.02
O  0.0000  0.0000  0.0000  -0.01

Record 8
DFT (PBE-GGA) results for crystalline TlTcO3 at its relaxed geometry.

Computed properties:
formation energy without anion corrections	-0.47	eV per atom
SG	P4mm (99)

Unit cell a=3.2311 b=3.2311 c=7.0074 alpha=90.00 beta=90.00 gamma=90.00
Positions (direct):
O  0.0000  0.0000  0.7321
O  0.0000  0.5000  0.4322
O  0.5000  0.0000  0.4322
Tl  0.0000  0.0000  0.0868
Tc  0.5000  0.5000  0.5804

V readings, ordered: 18.917, 19.887, 19.730, 14.814, 17.689, 19.035, 14.620, 14.632 Å³/atom
Magnetic moment readings, ordered: 0.00, 0.00, 2.53, 2.41, 0.72, 2.95, 2.04, 0.00 μB per formula unit
E readings, ordered: -75.32, -67.45, -36.36, -60.80, -60.32, -16.95, -36.89, -29.98 eV per cell